(1)
VASP calculation (PBE) on crystalline La2CuSi4Pd3 at its relaxed geometry.

Unit cell a=4.278 b=4.278 c=10.019 alpha=90.00 beta=90.00 gamma=90.00
Fractional positions:
La1 0.000 0.500 0.250
La2 0.500 0.000 0.750
Cu1 0.000 0.000 0.500
Si1 0.000 0.000 0.000
Si2 0.000 0.500 0.629
Si3 0.500 0.000 0.371
Si4 0.500 0.500 0.000
Pd1 0.000 0.500 0.878
Pd2 0.500 0.000 0.122
Pd3 0.500 0.500 0.500

Summary:
* VASP energy: -5.94 eV per atom
* SG: No. 115
* E_form (uncorrected): -0.820 eV per atom
* spin magnetization: 0.0 μB/f.u.
* crystal system: tetragonal
* density: 6.999 g/cm3

(2)
VASP calculation (PBE) on crystalline LaCuSi2Pd5 at its relaxed geometry.

Unit cell a=4.726 b=4.726 c=7.048 alpha=90.00 beta=90.00 gamma=90.00
Fractional positions:
La1 0.000 0.000 0.000
Cu1 0.000 0.000 0.500
Si1 0.500 0.500 0.341
Si2 0.500 0.500 0.659
Pd1 0.000 0.500 0.285
Pd2 0.000 0.500 0.715
Pd3 0.500 0.000 0.285
Pd4 0.500 0.000 0.715
Pd5 0.500 0.500 0.000

Summary:
* VASP energy: -5.59 eV per atom
* SG: No. 123
* E_form (uncorrected): -0.494 eV per atom
* spin magnetization: 0.0 μB/f.u.
* crystal system: tetragonal
* density: 8.342 g/cm3

(3)
VASP calculation (PBE) on crystalline La2CuSi3Pd4 at its relaxed geometry.

Unit cell a=4.348 b=4.348 c=9.859 alpha=90.00 beta=90.00 gamma=90.00
Fractional positions:
La1 0.000 0.500 0.241
La2 0.500 0.000 0.759
Cu1 0.500 0.500 0.000
Si1 0.000 0.000 0.000
Si2 0.000 0.500 0.625
Si3 0.500 0.000 0.375
Pd1 0.000 0.000 0.500
Pd2 0.000 0.500 0.870
Pd3 0.500 0.000 0.130
Pd4 0.500 0.500 0.500

Summary:
* VASP energy: -5.93 eV per atom
* SG: No. 115
* E_form (uncorrected): -0.827 eV per atom
* spin magnetization: 0.0 μB/f.u.
* crystal system: tetragonal
* density: 7.582 g/cm3